No. 1
DFT (GGA-PBE) results for a relaxed structure of La3AuO.

Cell: 9.131 9.131 6.346 Å, 93.82 93.82 94.57°
Fractional positions:
La 0.034 0.770 0.938
La 0.184 0.583 0.400
La 0.230 0.966 0.562
La 0.311 0.463 0.892
La 0.417 0.816 0.100
La 0.463 0.311 0.392
La 0.537 0.689 0.608
La 0.583 0.184 0.900
La 0.689 0.537 0.108
La 0.770 0.034 0.438
La 0.816 0.417 0.600
La 0.966 0.230 0.062
Au 0.094 0.257 0.556
Au 0.257 0.094 0.056
Au 0.743 0.906 0.944
Au 0.906 0.743 0.444
O 0.275 0.725 0.750
O 0.433 0.567 0.250
O 0.567 0.433 0.750
O 0.725 0.275 0.250

Calculated values
Total moment   0.0000 μB/atom
VASP energy   -5.960 eV/atom

No. 2
DFT (GGA-PBE) results for a relaxed structure of BeP2Pb.

Cell: 3.883 3.319 6.189 Å, 90.00 94.71 90.00°
Fractional positions:
Be 0.000 0.000 0.000
P 0.302 0.500 0.124
P 0.489 0.000 0.848
Pb 0.808 0.500 0.479

Calculated values
Total moment   0.0000 μB/atom
ΔE_f   0.1475 eV/atom
VASP energy   -4.416 eV/atom

No. 3
DFT (GGA-PBE) results for a relaxed structure of LaBiPtRh.

Cell: 5.012 5.012 5.012 Å, 60.00 60.00 60.00°
Fractional positions:
La 0.000 0.000 0.000
Bi 0.500 0.500 0.500
Pt 0.750 0.750 0.750
Rh 0.250 0.250 0.250

Calculated values
Total moment   0.0000 μB/atom
ΔE_f   -0.5581 eV/atom
VASP energy   -6.108 eV/atom